Record 1
First-principles (GGA-PBE) data for a geometry-optimized SmCo5P3 structure, as listed in Alexandria.

The space group is Pnma (No. 62) and the conventional cell measures 11.791, 3.674 and 10.355 Å, with angles of 90.00, 90.00 and 90.00 degrees. The inequivalent atoms are Sm at (0.202, 0.250, 0.083), Co at (0.009, 0.750, 0.715), Co at (0.011, 0.750, 0.094), Co at (0.068, 0.750, 0.468), Co at (0.176, 0.250, 0.779), Co at (0.198, 0.250, 0.383), P at (0.108, 0.750, 0.896), P at (0.111, 0.250, 0.582) and P at (0.130, 0.750, 0.274).

The value obtained for the excess energy over the best structure of this formula in the dataset is 0.00 kJ per mole of atoms. The theoretical density comes out at 7.965 Mg/m³. For the total magnetization, the calculation gives 1.342 μB per formula unit. The energy of formation comes out at -7.25 eV per formula unit. The total energy comes out at -7.080 eV per atom.

Record 2
First-principles (GGA-PBE) data for a geometry-optimized Na3CeZr2Te6 structure, as listed in Alexandria.

The space group is C2/m (No. 12) and the conventional cell measures 7.333, 12.761 and 8.125 Å, with angles of 90.00, 107.71 and 90.00 degrees. The inequivalent atoms are Na at (0.000, 0.000, 0.000), Na at (0.000, 0.340, 0.000), Ce at (0.000, 0.500, 0.500), Zr at (0.000, 0.169, 0.500), Te at (0.225, 0.000, 0.728) and Te at (0.247, 0.175, 0.269).

The theoretical density comes out at 5.305 Mg/m³. For the total magnetization, the calculation gives 2.307 μB per formula unit. The formation energy (no corrections) comes out at -1.011 eV/atom. The total energy comes out at -4.831 eV per atom.